DFT (PBE) results for an optimized crystal structure of KB.

Results
symmetry: Pmn2_1
distance to the lowest polymorph of the same formula: 438 meV per atom
ΔH_f (0 K): 0.68 eV per atom
total energy: -3.204 eV/atom
DOS(E_F): 1.08 states/eV/f.u.

Unit cell a=10.828 b=5.531 c=5.327 alpha=90.00 beta=90.00 gamma=90.00
Element x y z (fractional)
K: 0.738 0.218 0.122
K: 0.762 0.782 0.622
K: 0.262 0.218 0.122
K: 0.238 0.782 0.622
K: 0.000 0.598 0.090
K: 0.500 0.402 0.590
B: 0.915 0.267 0.612
B: 0.585 0.733 0.112
B: 0.085 0.267 0.612
B: 0.415 0.733 0.112
B: 0.000 0.107 0.446
B: 0.500 0.893 0.946